## FeBC2 (PBE)

Data for a relaxed structure of FeBC2.

Results
E_tot ... -7.98 eV/atom
Energy relative to the elements ... 0.422 eV per atom

Cell: 7.376 2.713 3.756 Å, 90.00 116.42 90.00°
Positions (direct):
Fe (0.000, 0.000, 0.000)
Fe (0.500, 0.500, 0.000)
B (0.474, 0.000, 0.508)
B (0.974, 0.500, 0.508)
C (0.099, 0.000, 0.581)
C (0.307, 0.000, 0.654)
C (0.599, 0.500, 0.581)
C (0.807, 0.500, 0.654)